1.
Density functional theory data (PBE) for NbICl2 after structural relaxation.

For the total energy, the calculation gives -69.9 eV for the cell shown. The calculation puts the density of states at the Fermi level at 1.95 states/eV/f.u. For the energy above the most stable polymorph in this dataset, the calculation gives 382.5 meV/atom.

The structure belongs to space group I-42d (No. 122); the cell edges are 8.887, 8.887 and 5.849 Å and the angles 90.00°, 90.00° and 90.00°. Symmetry generates all atoms from Nb at (0.000, 0.000, 0.000), I at (0.000, 0.000, 0.500) and Cl at (0.109, 0.250, 0.125).

***

2.
Density functional theory data (PBE) for Nb2ICl2 after structural relaxation.

For the total energy, the calculation gives -47.7 eV for the cell shown. The calculation puts the density of states at the Fermi level at 5.61 states/eV/f.u. For the energy above the most stable polymorph in this dataset, the calculation gives 444.0 meV/atom.

The structure belongs to space group P4/mbm (No. 127); the cell edges are 9.551, 9.551 and 3.144 Å and the angles 90.00°, 90.00° and 90.00°. Symmetry generates all atoms from Nb at (0.083, 0.417, 0.000), I at (0.000, 0.000, 0.500) and Cl at (0.143, 0.643, 0.500).

***

3.
Density functional theory data (PBE) for Nb3ICl7 after structural relaxation.

For the total energy, the calculation gives -57.7 eV for the cell shown. The calculation puts the density of states at the Fermi level at 1.94 states/eV/f.u.

The structure belongs to space group P3m1 (No. 156); the cell edges are 6.9269, 6.9269 and 7.5241 Å and the angles 90.00°, 90.00° and 120.00°. Symmetry generates all atoms from Nb at (0.0560, 0.5280, 0.0000), I at (0.3333, 0.6667, 0.2936), Cl at (0.1711, 0.3422, 0.7811), Cl at (0.3325, 0.1663, 0.1728) and Cl at (0.6667, 0.3333, 0.8177).

***

4.
Density functional theory data (PBE) for NbI2ClO after structural relaxation.

For the total energy, the calculation gives -23.5 eV for the cell shown. The calculation puts the density of states at the Fermi level at 2.96 states/eV/f.u. For the energy above the most stable polymorph in this dataset, the calculation gives 0.0 meV/atom.

The structure belongs to space group P4/mmm (No. 123); the cell edges are 5.642, 5.642 and 3.914 Å and the angles 90.00°, 90.00° and 90.00°. Symmetry generates all atoms from Nb at (0.000, 0.000, 0.000), I at (0.000, 0.500, 0.000), Cl at (0.500, 0.500, 0.500) and O at (0.000, 0.000, 0.500).

***

5.
Density functional theory data (PBE) for NbPdI2Cl after structural relaxation.

For the total energy, the calculation gives -17.8 eV for the cell shown. The calculation puts the density of states at the Fermi level at 4.17 states/eV/f.u.

The structure belongs to space group P4/mmm (No. 123); the cell edges are 5.513, 5.513 and 4.719 Å and the angles 90.00°, 90.00° and 90.00°. Symmetry generates all atoms from Nb at (0.000, 0.000, 0.000), Pd at (0.500, 0.500, 0.500), I at (0.000, 0.500, 0.500) and Cl at (0.500, 0.500, 0.000).

***

6.
Density functional theory data (PBE) for Rb2NbI6Cl after structural relaxation.

For the total energy, the calculation gives -61.6 eV for the cell shown. The calculation puts the density of states at the Fermi level at 0.85 states/eV/f.u.

The structure belongs to space group I4/mmm (No. 139); the cell edges are 8.700, 8.700 and 12.387 Å and the angles 90.00°, 90.00° and 90.00°. Symmetry generates all atoms from Rb at (0.000, 0.500, 0.250), Nb at (0.000, 0.000, 0.000), I at (0.000, 0.000, 0.226), I at (0.228, 0.228, 0.000) and Cl at (0.000, 0.000, 0.500).

***

7.
Density functional theory data (PBE) for Rb2NbICl6 after structural relaxation.

For the total energy, the calculation gives -39.0 eV for the cell shown.

The structure belongs to space group P1 (No. 1); the cell edges are 7.055, 7.295 and 9.766 Å and the angles 69.23°, 69.76° and 61.64°. Symmetry generates all atoms from Rb at (0.000, 0.000, 0.000), Rb at (0.480, 0.412, 0.627), Nb at (0.857, 0.797, 0.491), I at (0.403, 0.185, 0.014), Cl at (0.216, 0.695, 0.335), Cl at (0.497, 0.893, 0.652), Cl at (0.738, 0.706, 0.335), Cl at (0.760, 0.153, 0.343), Cl at (0.956, 0.435, 0.646) and Cl at (0.979, 0.883, 0.653).

***

8.
Density functional theory data (PBE) for Rb2NbI2Cl4 after structural relaxation.

For the total energy, the calculation gives -69.7 eV for the cell shown. The calculation puts the density of states at the Fermi level at 5.32 states/eV/f.u.

The structure belongs to space group I4/mmm (No. 139); the cell edges are 7.679, 7.679 and 11.041 Å and the angles 90.00°, 90.00° and 90.00°. Symmetry generates all atoms from Rb at (0.000, 0.500, 0.250), Nb at (0.000, 0.000, 0.000), I at (0.000, 0.000, 0.258) and Cl at (0.224, 0.224, 0.000).